# Be2CdPt (PBEsol, relaxed)
# **Crystal system**: cubic
# **Magnetization**: 0.00 μB/atom
# **Total DFT energy (no corrections)**: -3.96 eV per atom
data_Be2CdPt
_cell_length_a 5.991
_cell_length_b 5.991
_cell_length_c 5.991
_cell_angle_alpha 90.00
_cell_angle_beta 90.00
_cell_angle_gamma 90.00
_symmetry_space_group_name_H-M 'F -4 3 m'
_symmetry_Int_Tables_number 216
_symmetry_space_group_name_Hall 'F -4 2 3'
loop_
_atom_site_label
_atom_site_fract_x
_atom_site_fract_y
_atom_site_fract_z
Be1 0.000 0.000 0.000
Be2 0.250 0.250 0.250
Cd1 0.250 0.250 0.750
Pt1 0.000 0.000 0.500

---

# BaPtW2 (PBEsol, relaxed)
# **Crystal system**: monoclinic
# **Magnetization**: 0.00 μB/atom
# **Excess energy over the best structure of this formula in the dataset**: 0.2134 eV per atom
data_BaPtW2
_cell_length_a 9.191
_cell_length_b 3.111
_cell_length_c 6.639
_cell_angle_alpha 90.00
_cell_angle_beta 101.88
_cell_angle_gamma 90.00
_symmetry_space_group_name_H-M 'C 1 m 1'
_symmetry_Int_Tables_number 8
loop_
_symmetry_equiv_pos_as_xyz
'x,y,z'
'x,-y,z'
'x+1/2,y+1/2,z'
'x+1/2,-y+1/2,z'
loop_
_atom_site_label
_atom_site_fract_x
_atom_site_fract_y
_atom_site_fract_z
Ba1 0.000 0.000 0.000
Pt1 0.232 0.000 0.682
W1 0.007 0.500 0.498
W2 0.295 0.500 0.389